A plane-wave DFT calculation with PBE was carried out for La2Y3Er4 after structural relaxation.

Computed properties:
Excess energy over the best structure of this formula in the dataset in eV per formula unit: 0.60
DOS at the Fermi energy in states/eV/atom: 1.58

CIF file:
```
data_La2Y3Er4
_chemical_formula_sum 'La8 Y12 Er16'
_cell_length_a 16.712
_cell_length_b 11.690
_cell_length_c 6.048
_cell_angle_alpha 90.00
_cell_angle_beta 97.16
_cell_angle_gamma 90.00
_symmetry_space_group_name_H-M 'C 1 2/c 1'
_symmetry_Int_Tables_number 15
_symmetry_space_group_name_Hall '-C 2yc'
loop_
_atom_site_label
_atom_site_fract_x
_atom_site_fract_y
_atom_site_fract_z
La1 0.108 0.119 0.277
Y1 0.000 0.148 0.750
Y2 0.162 0.353 0.591
Er1 0.060 0.392 0.042
Er2 0.234 0.112 0.864
```